No. 1
The following is a GGA-PBE calculation of YSi2Mo after structural relaxation, from the Alexandria database.

Summary:
- energy relative to the elements, uncorrected (eV per atom) = -0.379
- symmetry = No. 38
- offset from the most stable computed form (kcal/mol of atoms) = 2.34

```
data_YSi2Mo
_symmetry_space_group_name_H-M 'P 1'
_symmetry_Int_Tables_number 1
_cell_length_a 3.840
_cell_length_b 3.624
_cell_length_c 5.308
_cell_angle_alpha 70.07
_cell_angle_beta 90.00
_cell_angle_gamma 90.00
loop_
_symmetry_equiv_pos_as_xyz
'x,y,z'
loop_
_atom_site_label
_atom_site_type_symbol
_atom_site_fract_x
_atom_site_fract_y
_atom_site_fract_z
Mo1 Mo 0.500 0.763 0.849
Si1 Si 0.000 0.202 0.971
Si2 Si 0.500 0.060 0.256
Y1 Y 0.000 0.475 0.425
```

=====

No. 2
The following is a GGA-PBE calculation of YSi2Mo after structural relaxation, from the Alexandria database.

Summary:
- energy relative to the elements, uncorrected (eV per atom) = -0.372
- symmetry = No. 10
- offset from the most stable computed form (kcal/mol of atoms) = 2.51

```
data_YSi2Mo
_symmetry_space_group_name_H-M 'P 1'
_symmetry_Int_Tables_number 1
_cell_length_a 3.251
_cell_length_b 3.240
_cell_length_c 7.358
_cell_angle_alpha 64.11
_cell_angle_beta 90.00
_cell_angle_gamma 90.00
loop_
_symmetry_equiv_pos_as_xyz
'x,y,z'
loop_
_atom_site_label
_atom_site_type_symbol
_atom_site_fract_x
_atom_site_fract_y
_atom_site_fract_z
Mo1 Mo 0.500 0.750 0.750
Si1 Si 0.000 0.060 0.941
Si2 Si 0.000 0.440 0.559
Y1 Y 0.500 0.250 0.250
```

=====

No. 3
The following is a GGA-PBE calculation of YSi2Mo after structural relaxation, from the Alexandria database.

Summary:
- energy relative to the elements, uncorrected (eV per atom) = 0.041
- symmetry = No. 122
- offset from the most stable computed form (kcal/mol of atoms) = 12.03

```
data_YSi2Mo
_symmetry_space_group_name_H-M 'P 1'
_symmetry_Int_Tables_number 1
_cell_length_a 4.717
_cell_length_b 4.717
_cell_length_c 8.878
_cell_angle_alpha 74.59
_cell_angle_beta 74.59
_cell_angle_gamma 90.00
loop_
_symmetry_equiv_pos_as_xyz
'x,y,z'
loop_
_atom_site_label
_atom_site_type_symbol
_atom_site_fract_x
_atom_site_fract_y
_atom_site_fract_z
Y1 Y 0.500 0.500 0.000
Y2 Y 0.250 0.750 0.500
Mo1 Mo 0.000 0.000 0.000
Mo2 Mo 0.750 0.250 0.500
Si1 Si 0.830 0.125 0.250
Si2 Si 0.920 0.625 0.250
Si3 Si 0.375 0.170 0.750
Si4 Si 0.875 0.080 0.750
```

=====

No. 4
The following is a GGA-PBE calculation of YSiMo3 after structural relaxation, from the Alexandria database.

Summary:
- energy relative to the elements, uncorrected (eV per atom) = 0.599
- symmetry = No. 221
- offset from the most stable computed form (kcal/mol of atoms) = 0.00

```
data_YSiMo3
_symmetry_space_group_name_H-M 'P 1'
_symmetry_Int_Tables_number 1
_cell_length_a 4.625
_cell_length_b 4.625
_cell_length_c 4.625
_cell_angle_alpha 90.00
_cell_angle_beta 90.00
_cell_angle_gamma 90.00
loop_
_symmetry_equiv_pos_as_xyz
'x,y,z'
loop_
_atom_site_label
_atom_site_type_symbol
_atom_site_fract_x
_atom_site_fract_y
_atom_site_fract_z
Y1 Y 0.500 0.500 0.500
Mo1 Mo 0.000 0.500 0.000
Mo2 Mo 0.000 0.000 0.500
Mo3 Mo 0.500 0.000 0.000
Si1 Si 0.000 0.000 0.000
```

=====

No. 5
The following is a GGA-PBE calculation of YSi2Mo after structural relaxation, from the Alexandria database.

Summary:
- energy relative to the elements, uncorrected (eV per atom) = -0.012
- symmetry = No. 123
- offset from the most stable computed form (kcal/mol of atoms) = 10.81

```
data_YSi2Mo
_symmetry_space_group_name_H-M 'P 1'
_symmetry_Int_Tables_number 1
_cell_length_a 3.883
_cell_length_b 4.236
_cell_length_c 4.236
_cell_angle_alpha 90.00
_cell_angle_beta 90.00
_cell_angle_gamma 90.00
loop_
_symmetry_equiv_pos_as_xyz
'x,y,z'
loop_
_atom_site_label
_atom_site_type_symbol
_atom_site_fract_x
_atom_site_fract_y
_atom_site_fract_z
Mo1 Mo 0.500 0.000 0.500
Si1 Si 0.000 0.000 0.000
Si2 Si 0.000 0.500 0.500
Y1 Y 0.500 0.500 0.000
```

=====

No. 6
The following is a GGA-PBE calculation of Y2Si4Mo3 after structural relaxation, from the Alexandria database.

Summary:
- energy relative to the elements, uncorrected (eV per atom) = -0.680
- symmetry = No. 14

```
data_Y2Si4Mo3
_symmetry_space_group_name_H-M 'P 1'
_symmetry_Int_Tables_number 1
_cell_length_a 6.929
_cell_length_b 6.761
_cell_length_c 6.865
_cell_angle_alpha 71.10
_cell_angle_beta 90.00
_cell_angle_gamma 90.00
loop_
_symmetry_equiv_pos_as_xyz
'x,y,z'
loop_
_atom_site_label
_atom_site_type_symbol
_atom_site_fract_x
_atom_site_fract_y
_atom_site_fract_z
Y1 Y 0.170 0.938 0.190
Y2 Y 0.330 0.438 0.190
Y3 Y 0.830 0.062 0.810
Y4 Y 0.670 0.562 0.810
Si1 Si 0.545 0.132 0.090
Si2 Si 0.368 0.628 0.505
Si3 Si 0.868 0.872 0.495
Si4 Si 0.045 0.368 0.910
Si5 Si 0.132 0.128 0.505
Si6 Si 0.632 0.372 0.495
Si7 Si 0.955 0.632 0.090
Si8 Si 0.455 0.868 0.910
Mo1 Mo 0.838 0.251 0.250
Mo2 Mo 0.338 0.249 0.750
Mo3 Mo 0.162 0.749 0.750
Mo4 Mo 0.662 0.751 0.250
Mo5 Mo 0.500 0.000 0.500
Mo6 Mo 0.000 0.500 0.500
```

=====

No. 7
The following is a GGA-PBE calculation of Y2SiMo after structural relaxation, from the Alexandria database.

Summary:
- energy relative to the elements, uncorrected (eV per atom) = 0.481
- symmetry = No. 122

```
data_Y2SiMo
_symmetry_space_group_name_H-M 'P 1'
_symmetry_Int_Tables_number 1
_cell_length_a 7.966
_cell_length_b 7.966
_cell_length_c 6.300
_cell_angle_alpha 50.79
_cell_angle_beta 50.79
_cell_angle_gamma 90.00
loop_
_symmetry_equiv_pos_as_xyz
'x,y,z'
loop_
_atom_site_label
_atom_site_type_symbol
_atom_site_fract_x
_atom_site_fract_y
_atom_site_fract_z
Y1 Y 0.615 0.125 0.250
Y2 Y 0.135 0.625 0.250
Y3 Y 0.375 0.385 0.750
Y4 Y 0.875 0.865 0.750
Mo1 Mo 0.000 0.000 0.000
Mo2 Mo 0.750 0.250 0.500
Si1 Si 0.500 0.500 0.000
Si2 Si 0.250 0.750 0.500
```

=====

No. 8
The following is a GGA-PBE calculation of YSi2Mo after structural relaxation, from the Alexandria database.

Summary:
- energy relative to the elements, uncorrected (eV per atom) = -0.481
- symmetry = No. 12
- offset from the most stable computed form (kcal/mol of atoms) = 0.00

```
data_YSi2Mo
_symmetry_space_group_name_H-M 'P 1'
_symmetry_Int_Tables_number 1
_cell_length_a 4.463
_cell_length_b 4.463
_cell_length_c 5.347
_cell_angle_alpha 71.72
_cell_angle_beta 71.72
_cell_angle_gamma 47.88
loop_
_symmetry_equiv_pos_as_xyz
'x,y,z'
loop_
_atom_site_label
_atom_site_type_symbol
_atom_site_fract_x
_atom_site_fract_y
_atom_site_fract_z
Mo1 Mo 0.250 0.250 0.250
Si1 Si 0.982 0.982 0.101
Si2 Si 0.518 0.518 0.399
Y1 Y 0.750 0.750 0.750
```

=====

No. 9
The following is a GGA-PBE calculation of YSi4Mo after structural relaxation, from the Alexandria database.

Summary:
- energy relative to the elements, uncorrected (eV per atom) = 0.130
- symmetry = No. 216

```
data_YSi4Mo
_symmetry_space_group_name_H-M 'P 1'
_symmetry_Int_Tables_number 1
_cell_length_a 5.093
_cell_length_b 5.093
_cell_length_c 5.093
_cell_angle_alpha 60.00
_cell_angle_beta 60.00
_cell_angle_gamma 60.00
loop_
_symmetry_equiv_pos_as_xyz
'x,y,z'
loop_
_atom_site_label
_atom_site_type_symbol
_atom_site_fract_x
_atom_site_fract_y
_atom_site_fract_z
Y1 Y 0.750 0.750 0.750
Si1 Si 0.879 0.374 0.374
Si2 Si 0.374 0.374 0.879
Si3 Si 0.374 0.879 0.374
Si4 Si 0.374 0.374 0.374
Mo1 Mo 0.000 0.000 0.000
```

=====

No. 10
The following is a GGA-PBE calculation of YSi2Mo after structural relaxation, from the Alexandria database.

Summary:
- energy relative to the elements, uncorrected (eV per atom) = -0.159
- symmetry = No. 99
- offset from the most stable computed form (kcal/mol of atoms) = 7.42

```
data_YSi2Mo
_symmetry_space_group_name_H-M 'P 1'
_symmetry_Int_Tables_number 1
_cell_length_a 3.304
_cell_length_b 3.304
_cell_length_c 6.617
_cell_angle_alpha 90.00
_cell_angle_beta 90.00
_cell_angle_gamma 90.00
loop_
_symmetry_equiv_pos_as_xyz
'x,y,z'
loop_
_atom_site_label
_atom_site_type_symbol
_atom_site_fract_x
_atom_site_fract_y
_atom_site_fract_z
Mo1 Mo 0.500 0.500 0.822
Si1 Si 0.000 0.000 0.983
Si2 Si 0.500 0.500 0.193
Y1 Y 0.000 0.000 0.502
```

=====

No. 11
The following is a GGA-PBE calculation of YSiMo4 after structural relaxation, from the Alexandria database.

Summary:
- energy relative to the elements, uncorrected (eV per atom) = 0.276
- symmetry = No. 216

```
data_YSiMo4
_symmetry_space_group_name_H-M 'P 1'
_symmetry_Int_Tables_number 1
_cell_length_a 5.341
_cell_length_b 5.341
_cell_length_c 5.341
_cell_angle_alpha 60.00
_cell_angle_beta 60.00
_cell_angle_gamma 60.00
loop_
_symmetry_equiv_pos_as_xyz
'x,y,z'
loop_
_atom_site_label
_atom_site_type_symbol
_atom_site_fract_x
_atom_site_fract_y
_atom_site_fract_z
Y1 Y 0.000 0.000 0.000
Si1 Si 0.750 0.750 0.750
Mo1 Mo 0.872 0.376 0.376
Mo2 Mo 0.376 0.376 0.872
Mo3 Mo 0.376 0.872 0.376
Mo4 Mo 0.376 0.376 0.376
```

=====

No. 12
The following is a GGA-PBE calculation of Y2SiMo after structural relaxation, from the Alexandria database.

Summary:
- energy relative to the elements, uncorrected (eV per atom) = -0.239
- symmetry = No. 38

```
data_Y2SiMo
_symmetry_space_group_name_H-M 'P 1'
_symmetry_Int_Tables_number 1
_cell_length_a 4.210
_cell_length_b 4.000
_cell_length_c 5.849
_cell_angle_alpha 70.04
_cell_angle_beta 90.00
_cell_angle_gamma 90.00
loop_
_symmetry_equiv_pos_as_xyz
'x,y,z'
loop_
_atom_site_label
_atom_site_type_symbol
_atom_site_fract_x
_atom_site_fract_y
_atom_site_fract_z
Mo1 Mo 0.000 0.685 0.505
Si1 Si 0.500 0.564 0.747
Y1 Y 0.000 0.980 0.916
Y2 Y 0.500 0.271 0.332
```

=====

No. 13
The following is a GGA-PBE calculation of YSi2Mo after structural relaxation, from the Alexandria database.

Summary:
- energy relative to the elements, uncorrected (eV per atom) = -0.278
- symmetry = No. 166
- offset from the most stable computed form (kcal/mol of atoms) = 4.67

```
data_YSi2Mo
_symmetry_space_group_name_H-M 'P 1'
_symmetry_Int_Tables_number 1
_cell_length_a 7.051
_cell_length_b 7.051
_cell_length_c 7.051
_cell_angle_alpha 29.72
_cell_angle_beta 29.72
_cell_angle_gamma 29.72
loop_
_symmetry_equiv_pos_as_xyz
'x,y,z'
loop_
_atom_site_label
_atom_site_type_symbol
_atom_site_fract_x
_atom_site_fract_y
_atom_site_fract_z
Mo1 Mo 0.750 0.750 0.750
Si1 Si 0.012 0.012 0.012
Si2 Si 0.488 0.488 0.488
Y1 Y 0.250 0.250 0.250
```

=====

No. 14
The following is a GGA-PBE calculation of Y2SiMo after structural relaxation, from the Alexandria database.

Summary:
- energy relative to the elements, uncorrected (eV per atom) = -0.028
- symmetry = No. 123

```
data_Y2SiMo
_symmetry_space_group_name_H-M 'P 1'
_symmetry_Int_Tables_number 1
_cell_length_a 7.687
_cell_length_b 4.704
_cell_length_c 3.862
_cell_angle_alpha 89.97
_cell_angle_beta 59.89
_cell_angle_gamma 127.67
loop_
_symmetry_equiv_pos_as_xyz
'x,y,z'
loop_
_atom_site_label
_atom_site_type_symbol
_atom_site_fract_x
_atom_site_fract_y
_atom_site_fract_z
Mo1 Mo 0.000 0.500 0.500
Si1 Si 0.500 0.500 0.000
Y1 Y 0.000 0.000 0.000
Y2 Y 0.500 0.000 0.500
```

=====

No. 15
The following is a GGA-PBE calculation of YSiMo3 after structural relaxation, from the Alexandria database.

Summary:
- energy relative to the elements, uncorrected (eV per atom) = 2.657
- symmetry = No. 221
- offset from the most stable computed form (kcal/mol of atoms) = 47.46

```
data_YSiMo3
_symmetry_space_group_name_H-M 'P 1'
_symmetry_Int_Tables_number 1
_cell_length_a 4.802
_cell_length_b 4.802
_cell_length_c 4.802
_cell_angle_alpha 90.00
_cell_angle_beta 90.00
_cell_angle_gamma 90.00
loop_
_symmetry_equiv_pos_as_xyz
'x,y,z'
loop_
_atom_site_label
_atom_site_type_symbol
_atom_site_fract_x
_atom_site_fract_y
_atom_site_fract_z
Y1 Y 0.000 0.000 0.000
Mo1 Mo 0.000 0.500 0.000
Mo2 Mo 0.000 0.000 0.500
Mo3 Mo 0.500 0.000 0.000
Si1 Si 0.500 0.500 0.500
```

=====

No. 16
The following is a GGA-PBE calculation of Y2SiMo after structural relaxation, from the Alexandria database.

Summary:
- energy relative to the elements, uncorrected (eV per atom) = 0.099
- symmetry = No. 123

```
data_Y2SiMo
_symmetry_space_group_name_H-M 'P 1'
_symmetry_Int_Tables_number 1
_cell_length_a 3.151
_cell_length_b 3.151
_cell_length_c 8.706
_cell_angle_alpha 90.00
_cell_angle_beta 90.00
_cell_angle_gamma 90.00
loop_
_symmetry_equiv_pos_as_xyz
'x,y,z'
loop_
_atom_site_label
_atom_site_type_symbol
_atom_site_fract_x
_atom_site_fract_y
_atom_site_fract_z
Mo1 Mo 0.500 0.500 0.250
Si1 Si 0.500 0.500 0.750
Y1 Y 0.000 0.000 0.988
Y2 Y 0.000 0.000 0.512
```

=====

No. 17
The following is a GGA-PBE calculation of Y2SiMo after structural relaxation, from the Alexandria database.

Summary:
- energy relative to the elements, uncorrected (eV per atom) = -0.108
- symmetry = No. 44

```
data_Y2SiMo
_symmetry_space_group_name_H-M 'P 1'
_symmetry_Int_Tables_number 1
_cell_length_a 5.825
_cell_length_b 5.825
_cell_length_c 5.825
_cell_angle_alpha 143.00
_cell_angle_beta 131.88
_cell_angle_gamma 62.21
loop_
_symmetry_equiv_pos_as_xyz
'x,y,z'
loop_
_atom_site_label
_atom_site_type_symbol
_atom_site_fract_x
_atom_site_fract_y
_atom_site_fract_z
Mo1 Mo 0.451 0.451 0.000
Si1 Si 0.283 0.783 0.500
Y1 Y 0.023 0.023 0.000
Y2 Y 0.742 0.242 0.500
```

=====

No. 18
The following is a GGA-PBE calculation of Y3SiMo after structural relaxation, from the Alexandria database.

Summary:
- energy relative to the elements, uncorrected (eV per atom) = 0.571
- symmetry = No. 221
- offset from the most stable computed form (kcal/mol of atoms) = 0.00

```
data_Y3SiMo
_symmetry_space_group_name_H-M 'P 1'
_symmetry_Int_Tables_number 1
_cell_length_a 5.254
_cell_length_b 5.254
_cell_length_c 5.254
_cell_angle_alpha 90.00
_cell_angle_beta 90.00
_cell_angle_gamma 90.00
loop_
_symmetry_equiv_pos_as_xyz
'x,y,z'
loop_
_atom_site_label
_atom_site_type_symbol
_atom_site_fract_x
_atom_site_fract_y
_atom_site_fract_z
Y1 Y 0.000 0.500 0.000
Y2 Y 0.000 0.000 0.500
Y3 Y 0.500 0.000 0.000
Mo1 Mo 0.000 0.000 0.000
Si1 Si 0.500 0.500 0.500
```

=====

No. 19
The following is a GGA-PBE calculation of YSi2Mo after structural relaxation, from the Alexandria database.

Summary:
- energy relative to the elements, uncorrected (eV per atom) = -0.015
- symmetry = No. 65
- offset from the most stable computed form (kcal/mol of atoms) = 10.74

```
data_YSi2Mo
_symmetry_space_group_name_H-M 'P 1'
_symmetry_Int_Tables_number 1
_cell_length_a 4.577
_cell_length_b 4.577
_cell_length_c 3.422
_cell_angle_alpha 90.00
_cell_angle_beta 90.00
_cell_angle_gamma 102.53
loop_
_symmetry_equiv_pos_as_xyz
'x,y,z'
loop_
_atom_site_label
_atom_site_type_symbol
_atom_site_fract_x
_atom_site_fract_y
_atom_site_fract_z
Mo1 Mo 0.000 0.500 0.500
Si1 Si 0.000 0.000 0.000
Si2 Si 0.500 0.500 0.000
Y1 Y 0.500 0.000 0.500
```

=====

No. 20
The following is a GGA-PBE calculation of Y2SiMo after structural relaxation, from the Alexandria database.

Summary:
- energy relative to the elements, uncorrected (eV per atom) = 0.144
- symmetry = No. 216

```
data_Y2SiMo
_symmetry_space_group_name_H-M 'P 1'
_symmetry_Int_Tables_number 1
_cell_length_a 4.872
_cell_length_b 4.872
_cell_length_c 4.872
_cell_angle_alpha 60.00
_cell_angle_beta 60.00
_cell_angle_gamma 60.00
loop_
_symmetry_equiv_pos_as_xyz
'x,y,z'
loop_
_atom_site_label
_atom_site_type_symbol
_atom_site_fract_x
_atom_site_fract_y
_atom_site_fract_z
Mo1 Mo 0.500 0.500 0.500
Si1 Si 0.750 0.750 0.750
Y1 Y 0.000 0.000 0.000
Y2 Y 0.250 0.250 0.250
```

=====

Per-record DFT total energy, eV/atom: -7.414, -7.407, -6.994, -8.277, -7.047, -8.137, -6.815, -7.516, -6.368, -7.194, -8.926, -7.534, -7.313, -7.323, -6.219, -7.197, -7.403, -6.558, -7.050, -7.152